Entry 1:
PBE Ba2LiLa, relaxed; ΔH_f (0 K) = 0.205 eV/atom; offset from the most stable computed form = 76 meV per atom; calculated total energy = -2.466 eV per atom
1.0
-5.130 -5.055 -1.313
2.141 -6.979 0.549
-0.757 6.378 3.514
Ba Li La
2 1 1
Direct
0.027 0.027 0.000
0.473 0.473 0.000
0.250 0.750 0.500
0.750 0.250 0.500



Entry 2:
PBE LaMnAl2Co, relaxed; ΔH_f (0 K) = 0.556 eV/atom; calculated total energy = -5.182 eV per atom
1.0
-1.294 4.365 -0.834
-3.968 -0.663 2.689
2.311 1.403 3.757
Mn Co Al La
1 1 2 1
Direct
0.000 0.000 0.000
0.500 0.500 0.500
0.500 0.000 0.000
0.000 0.000 0.500
0.000 0.500 0.000



Entry 3:
PBE MgReNi2, relaxed; ΔH_f (0 K) = 0.206 eV/atom; calculated total energy = -6.195 eV per atom
1.0
-3.932 1.145 7.627
-1.426 0.537 8.521
-2.040 3.102 7.820
Mg Ni Re
1 2 1
Direct
0.745 0.745 0.745
0.252 0.252 0.252
0.996 0.996 0.996
0.507 0.507 0.507



> Among the records above, which one has the highest ΔH_f (0 K)?

LaMnAl2Co